(1)
# AgSbAs2 | Alexandria via LeMat-Bulk | SCAN | single point on PBEsol structure
# Formation energy without anion corrections, eV/atom: 0.240
# Crystal system: monoclinic
# E_tot, eV per atom: -27.013
# Magnetization, μB/atom: 0.000
# V, Å³/atom: 21.63
# Symmetry: C2/m, No. 12
data_AgSbAs2
_chemical_formula_sum 'Ag1 Sb1 As2'
_symmetry_space_group_name_H-M 'P 1'
_symmetry_Int_Tables_number 1
_symmetry_space_group_name_Hall 'P 1'
_cell_length_a 3.673
_cell_length_b 4.521
_cell_length_c 5.668
_cell_angle_alpha 102.87
_cell_angle_beta 108.90
_cell_angle_gamma 90.00
loop_
_atom_site_label
_atom_site_type_symbol
_atom_site_fract_x
_atom_site_fract_y
_atom_site_fract_z
Sb1 Sb 0.000 0.500 0.000
As1 As 0.285 0.200 0.569
As2 As 0.715 0.800 0.431
Ag1 Ag 0.500 0.000 0.000


(2)
# AgSb2As | Alexandria via LeMat-Bulk | SCAN | single point on PBEsol structure
# Formation energy without anion corrections, eV/atom: 0.308
# Crystal system: tetragonal
# E_tot, eV per atom: -31.212
# Magnetization, μB/atom: 0.000
# V, Å³/atom: 21.90
# Symmetry: P4/mmm, No. 123
data_AgSb2As
_chemical_formula_sum 'Ag1 Sb2 As1'
_symmetry_space_group_name_H-M 'P 1'
_symmetry_Int_Tables_number 1
_symmetry_space_group_name_Hall 'P 1'
_cell_length_a 3.085
_cell_length_b 5.329
_cell_length_c 5.329
_cell_angle_alpha 90.00
_cell_angle_beta 90.00
_cell_angle_gamma 90.00
loop_
_atom_site_label
_atom_site_type_symbol
_atom_site_fract_x
_atom_site_fract_y
_atom_site_fract_z
As1 As 0.500 0.000 0.000
Ag1 Ag 0.500 0.500 0.500
Sb1 Sb 0.000 0.000 0.500
Sb2 Sb 0.000 0.500 0.000


(3)
# ScAgAs4 | Alexandria via LeMat-Bulk | SCAN | single point on PBEsol structure
# Crystal system: cubic
# E_tot, eV per atom: -21.005
# Magnetization, μB/atom: 0.000
# V, Å³/atom: 19.25
# Symmetry: F-43m, No. 216
data_ScAgAs4
_chemical_formula_sum 'Sc1 Ag1 As4'
_symmetry_space_group_name_H-M 'P 1'
_symmetry_Int_Tables_number 1
_symmetry_space_group_name_Hall 'P 1'
_cell_length_a 5.466
_cell_length_b 5.466
_cell_length_c 5.466
_cell_angle_alpha 60.00
_cell_angle_beta 60.00
_cell_angle_gamma 60.00
loop_
_atom_site_label
_atom_site_type_symbol
_atom_site_fract_x
_atom_site_fract_y
_atom_site_fract_z
As1 As 0.374 0.374 0.374
As2 As 0.879 0.374 0.374
Sc1 Sc 0.750 0.750 0.750
Ag1 Ag 0.000 0.000 0.000
As3 As 0.374 0.374 0.879
As4 As 0.374 0.879 0.374


(4)
# ScAgAs2 | Alexandria via LeMat-Bulk | SCAN | single point on PBEsol structure
# Crystal system: trigonal
# E_tot, eV per atom: -21.432
# Magnetization, μB/atom: 0.000
# V, Å³/atom: 18.97
# Symmetry: R3m, No. 160
data_ScAgAs2
_chemical_formula_sum 'Sc1 Ag1 As2'
_symmetry_space_group_name_H-M 'P 1'
_symmetry_Int_Tables_number 1
_symmetry_space_group_name_Hall 'P 1'
_cell_length_a 3.058
_cell_length_b 3.058
_cell_length_c 9.538
_cell_angle_alpha 80.78
_cell_angle_beta 80.78
_cell_angle_gamma 60.00
loop_
_atom_site_label
_atom_site_type_symbol
_atom_site_fract_x
_atom_site_fract_y
_atom_site_fract_z
Ag1 Ag 0.249 0.249 0.252
Sc1 Sc 0.499 0.499 0.502
As1 As 0.995 0.995 0.015
As2 As 0.756 0.756 0.731


(5)
# ScAgAs2 | Alexandria via LeMat-Bulk | SCAN | single point on PBEsol structure
# Crystal system: tetragonal
# E_tot, eV per atom: -21.763
# Magnetization, μB/atom: 0.000
# V, Å³/atom: 20.96
# Symmetry: I-42d, No. 122
data_ScAgAs2
_chemical_formula_sum 'Sc2 Ag2 As4'
_symmetry_space_group_name_H-M 'P 1'
_symmetry_Int_Tables_number 1
_symmetry_space_group_name_Hall 'P 1'
_cell_length_a 4.478
_cell_length_b 4.478
_cell_length_c 8.943
_cell_angle_alpha 104.50
_cell_angle_beta 104.50
_cell_angle_gamma 90.00
loop_
_atom_site_label
_atom_site_type_symbol
_atom_site_fract_x
_atom_site_fract_y
_atom_site_fract_z
Sc1 Sc 0.750 0.250 0.500
As1 As 0.878 0.375 0.250
Sc2 Sc 0.500 0.500 0.000
Ag1 Ag 0.000 0.000 0.000
Ag2 Ag 0.250 0.750 0.500
As2 As 0.372 0.875 0.250
As3 As 0.625 0.628 0.750
As4 As 0.125 0.122 0.750


(6)
# Sc2AgAs | Alexandria via LeMat-Bulk | SCAN | single point on PBEsol structure
# Crystal system: orthorhombic
# E_tot, eV per atom: -20.658
# Magnetization, μB/atom: 0.000
# V, Å³/atom: 18.79
# Symmetry: Imm2, No. 44
data_Sc2AgAs
_chemical_formula_sum 'Sc2 Ag1 As1'
_symmetry_space_group_name_H-M 'P 1'
_symmetry_Int_Tables_number 1
_symmetry_space_group_name_Hall 'P 1'
_cell_length_a 3.763
_cell_length_b 4.054
_cell_length_c 5.651
_cell_angle_alpha 111.02
_cell_angle_beta 109.45
_cell_angle_gamma 90.00
loop_
_atom_site_label
_atom_site_type_symbol
_atom_site_fract_x
_atom_site_fract_y
_atom_site_fract_z
Ag1 Ag 0.512 0.512 0.023
Sc1 Sc 0.755 0.255 0.510
As1 As 0.237 0.737 0.475
Sc2 Sc 0.996 0.996 0.991


(7)
# ScAgAs | Alexandria via LeMat-Bulk | SCAN | single point on PBEsol structure
# Crystal system: trigonal
# E_tot, eV per atom: -22.514
# Magnetization, μB/atom: 0.000
# V, Å³/atom: 18.74
# Symmetry: P3m1, No. 156
data_ScAgAs
_chemical_formula_sum 'Sc1 Ag1 As1'
_symmetry_space_group_name_H-M 'P 1'
_symmetry_Int_Tables_number 1
_symmetry_space_group_name_Hall 'P 1'
_cell_length_a 3.697
_cell_length_b 4.190
_cell_length_c 4.190
_cell_angle_alpha 120.00
_cell_angle_beta 90.00
_cell_angle_gamma 90.00
loop_
_atom_site_label
_atom_site_type_symbol
_atom_site_fract_x
_atom_site_fract_y
_atom_site_fract_z
Sc1 Sc 0.355 0.667 0.333
As1 As 0.722 0.333 0.667
Ag1 Ag 0.923 0.000 0.000


(8)
# ScAgAs2 | Alexandria via LeMat-Bulk | SCAN | single point on PBEsol structure
# Crystal system: tetragonal
# E_tot, eV per atom: -22.057
# Magnetization, μB/atom: 0.000
# V, Å³/atom: 19.04
# Symmetry: P4mm, No. 99
data_ScAgAs2
_chemical_formula_sum 'Sc1 Ag1 As2'
_symmetry_space_group_name_H-M 'P 1'
_symmetry_Int_Tables_number 1
_symmetry_space_group_name_Hall 'P 1'
_cell_length_a 3.745
_cell_length_b 3.745
_cell_length_c 5.431
_cell_angle_alpha 90.00
_cell_angle_beta 90.00
_cell_angle_gamma 90.00
loop_
_atom_site_label
_atom_site_type_symbol
_atom_site_fract_x
_atom_site_fract_y
_atom_site_fract_z
As1 As 0.000 0.000 0.925
As2 As 0.500 0.500 0.323
Ag1 Ag 0.500 0.500 0.817
Sc1 Sc 0.000 0.000 0.435


(9)
# AgAsSe | Alexandria via LeMat-Bulk | SCAN | single point on PBEsol structure
# Formation energy without anion corrections, eV/atom: 0.279
# Crystal system: tetragonal
# E_tot, eV per atom: -23.600
# Magnetization, μB/atom: 0.000
# V, Å³/atom: 19.34
# Symmetry: I4mm, No. 107
data_AgAsSe
_chemical_formula_sum 'Ag1 As1 Se1'
_symmetry_space_group_name_H-M 'P 1'
_symmetry_Int_Tables_number 1
_symmetry_space_group_name_Hall 'P 1'
_cell_length_a 2.777
_cell_length_b 2.777
_cell_length_c 7.777
_cell_angle_alpha 100.28
_cell_angle_beta 100.28
_cell_angle_gamma 90.00
loop_
_atom_site_label
_atom_site_type_symbol
_atom_site_fract_x
_atom_site_fract_y
_atom_site_fract_z
Ag1 Ag 0.004 0.004 0.008
Se1 Se 0.349 0.349 0.699
As1 As 0.647 0.647 0.293


(10)
# AgAsSe | Alexandria via LeMat-Bulk | SCAN | single point on PBEsol structure
# Formation energy without anion corrections, eV/atom: 0.417
# Crystal system: cubic
# E_tot, eV per atom: -23.461
# Magnetization, μB/atom: 0.000
# V, Å³/atom: 21.99
# Symmetry: F-43m, No. 216
data_AgAsSe
_chemical_formula_sum 'Ag1 As1 Se1'
_symmetry_space_group_name_H-M 'P 1'
_symmetry_Int_Tables_number 1
_symmetry_space_group_name_Hall 'P 1'
_cell_length_a 4.536
_cell_length_b 4.536
_cell_length_c 4.536
_cell_angle_alpha 60.00
_cell_angle_beta 60.00
_cell_angle_gamma 60.00
loop_
_atom_site_label
_atom_site_type_symbol
_atom_site_fract_x
_atom_site_fract_y
_atom_site_fract_z
As1 As 0.250 0.250 0.250
Ag1 Ag 0.500 0.500 0.500
Se1 Se 0.000 0.000 0.000


(11)
# AgAsSe | Alexandria via LeMat-Bulk | SCAN | single point on PBEsol structure
# Formation energy without anion corrections, eV/atom: -0.075
# Crystal system: orthorhombic
# E_tot, eV per atom: -23.953
# Magnetization, μB/atom: 0.000
# V, Å³/atom: 24.84
# Symmetry: Pnma, No. 62
data_AgAsSe
_chemical_formula_sum 'Ag4 As4 Se4'
_symmetry_space_group_name_H-M 'P 1'
_symmetry_Int_Tables_number 1
_symmetry_space_group_name_Hall 'P 1'
_cell_length_a 4.045
_cell_length_b 6.044
_cell_length_c 12.190
_cell_angle_alpha 90.00
_cell_angle_beta 90.00
_cell_angle_gamma 90.00
loop_
_atom_site_label
_atom_site_type_symbol
_atom_site_fract_x
_atom_site_fract_y
_atom_site_fract_z
As1 As 0.750 0.374 0.015
Se1 Se 0.250 0.809 0.159
Se2 Se 0.750 0.191 0.841
Se3 Se 0.750 0.309 0.341
Ag1 Ag 0.750 0.076 0.162
As2 As 0.250 0.626 0.985
Se4 Se 0.250 0.691 0.659
Ag2 Ag 0.250 0.576 0.338
As3 As 0.250 0.874 0.485
Ag3 Ag 0.250 0.924 0.838
Ag4 Ag 0.750 0.424 0.662
As4 As 0.750 0.126 0.515


(12)
# Ag3AsSe3 | Alexandria via LeMat-Bulk | SCAN | single point on PBEsol structure
# Formation energy without anion corrections, eV/atom: -0.102
# Crystal system: trigonal
# E_tot, eV per atom: -25.035
# Magnetization, μB/atom: 0.000
# V, Å³/atom: 22.09
# Symmetry: R3c, No. 161
data_Ag3AsSe3
_chemical_formula_sum 'Ag6 As2 Se6'
_symmetry_space_group_name_H-M 'P 1'
_symmetry_Int_Tables_number 1
_symmetry_space_group_name_Hall 'P 1'
_cell_length_a 7.108
_cell_length_b 7.108
_cell_length_c 7.108
_cell_angle_alpha 105.67
_cell_angle_beta 105.67
_cell_angle_gamma 105.67
loop_
_atom_site_label
_atom_site_type_symbol
_atom_site_fract_x
_atom_site_fract_y
_atom_site_fract_z
Ag1 Ag 0.531 0.763 0.091
Se1 Se 0.245 0.908 0.210
Ag2 Ag 0.091 0.531 0.763
Se2 Se 0.908 0.210 0.245
As1 As 0.969 0.969 0.969
Se3 Se 0.745 0.710 0.408
Se4 Se 0.210 0.245 0.908
Se5 Se 0.408 0.745 0.710
Ag3 Ag 0.763 0.091 0.531
Ag4 Ag 0.031 0.591 0.263
Ag5 Ag 0.263 0.031 0.591
Se6 Se 0.710 0.408 0.745
Ag6 Ag 0.591 0.263 0.031
As2 As 0.469 0.469 0.469